Entry 1:
A relaxed Ho2ScI crystal. Source: the Alexandria database, functional GGA-PBE.

Output
Formation energy from raw total energies (meV/atom): -243
Offset from the most stable computed form (eV per atom): 0.000

Lattice parameters (Å, degrees): 3.586 3.586 9.093 90.00 90.00 90.00
Space group P4/mmm (No. 123)
Inequivalent atoms, fractional coordinates:
Ho1 0.000 0.000 0.243 [2 per cell]
Sc1 0.500 0.500 0.000 [1 per cell]
I1 0.500 0.500 0.500 [1 per cell]


Entry 2:
A relaxed Nd2FePd crystal. Source: the Alexandria database, functional GGA-PBE.

Output
Formation energy from the elements (meV/atom): -224

Lattice parameters (Å, degrees): 3.566 3.566 7.152 90.00 90.00 90.00
Space group P4/mmm (No. 123)
Inequivalent atoms, fractional coordinates:
Nd1 0.000 0.000 0.242 [2 per cell]
Fe1 0.500 0.500 0.000 [1 per cell]
Pd1 0.500 0.500 0.500 [1 per cell]


Entry 3:
A relaxed BeV6C crystal. Source: the Alexandria database, functional GGA-PBE.

Output
Formation energy from the elements (meV/atom): -45

Lattice parameters (Å, degrees): 4.398 4.828 5.167 79.36 65.38 84.60
Space group P-1 (No. 2)
Inequivalent atoms, fractional coordinates:
Be1 0.000 0.000 0.000 [1 per cell]
V1 0.051 0.611 0.758 [2 per cell]
V2 0.306 0.159 0.459 [2 per cell]
V3 0.429 0.723 0.152 [2 per cell]
C1 0.500 0.500 0.500 [1 per cell]


| no. | calculated total energy (eV/atom) |
| --- | --- |
| 1 | -4.5020 |
| 2 | -6.0215 |
| 3 | -8.5027 |